# 1
A plane-wave DFT calculation with SCAN was carried out for a PBEsol-optimized structure of Sc2Cu2Au.

Summary:
The formation energy is -2.75 eV per formula unit.

abc: 6.939 6.939 3.407
angles: 90.00 90.00 90.00
Space group P4/mbm (No. 127)
Unique sites:
Sc1 0.177 0.323 0.000 [4 per cell]
Cu1 0.122 0.622 0.500 [4 per cell]
Au1 0.000 0.000 0.500 [2 per cell]

---

# 2
A plane-wave DFT calculation with SCAN was carried out for a PBEsol-optimized structure of TiCrTeN2.

Summary:
As for the formation energy from raw total energies: 1.688 eV/f.u.

abc: 3.744 3.744 5.247
angles: 90.00 90.00 90.00
Space group P4/mmm (No. 123)
Unique sites:
Ti1 0.000 0.000 0.000 [1 per cell]
Cr1 0.500 0.500 0.500 [1 per cell]
Te1 0.500 0.500 0.000 [1 per cell]
N1 0.000 0.500 0.500 [2 per cell]

---

# 3
A plane-wave DFT calculation with SCAN was carried out for a PBEsol-optimized structure of CeYFe4.

Summary:
The formation energy is 0.09 eV per formula unit.

abc: 7.108 7.108 7.108
angles: 90.00 90.00 90.00
Space group F-43m (No. 216)
Unique sites:
Ce1 0.000 0.000 0.000 [4 per cell]
Y1 0.250 0.250 0.250 [4 per cell]
Fe1 0.125 0.125 0.625 [16 per cell]

---

# 4
A plane-wave DFT calculation with SCAN was carried out for a PBEsol-optimized structure of BeCu2AgTe.

Summary:
As for the formation energy from raw total energies: 5.301 eV/f.u.

abc: 4.776 4.776 4.636
angles: 90.00 90.00 90.00
Space group P4/mmm (No. 123)
Unique sites:
Be1 0.000 0.000 0.000 [1 per cell]
Cu1 0.000 0.500 0.500 [2 per cell]
Ag1 0.500 0.500 0.000 [1 per cell]
Te1 0.000 0.000 0.500 [1 per cell]

---

# 5
A plane-wave DFT calculation with SCAN was carried out for a PBEsol-optimized structure of Sr4HgSe.

Summary:
As for the formation energy from raw total energies: 0.953 eV/f.u.

abc: 9.737 9.737 9.737
angles: 90.00 90.00 90.00
Space group F-43m (No. 216)
Unique sites:
Sr1 0.125 0.125 0.125 [16 per cell]
Hg1 0.000 0.000 0.500 [4 per cell]
Se1 0.250 0.250 0.750 [4 per cell]

---

# 6
A plane-wave DFT calculation with SCAN was carried out for a PBEsol-optimized structure of KTa2IN.

Summary:
As for the formation energy from raw total energies: 1.499 eV/f.u.

abc: 4.166 4.166 6.914
angles: 90.00 90.00 90.00
Space group P4/mmm (No. 123)
Unique sites:
K1 0.000 0.000 0.000 [1 per cell]
Ta1 0.000 0.500 0.500 [2 per cell]
I1 0.500 0.500 0.000 [1 per cell]
N1 0.500 0.500 0.500 [1 per cell]

---

# 7
A plane-wave DFT calculation with SCAN was carried out for a PBEsol-optimized structure of HgBiB3.

Summary:
The formation energy is 10.71 eV per formula unit.

abc: 4.420 4.420 4.420
angles: 90.00 90.00 90.00
Space group Pm-3m (No. 221)
Unique sites:
Hg1 0.000 0.000 0.000 [1 per cell]
Bi1 0.500 0.500 0.500 [1 per cell]
B1 0.000 0.000 0.500 [3 per cell]

---

# 8
A plane-wave DFT calculation with SCAN was carried out for a PBEsol-optimized structure of Hg2SbAs.

Summary:
As for the formation energy from raw total energies: 0.158 eV/f.u. The energy above the most stable polymorph in this dataset is 0.0000 eV per atom.

abc: 6.773 3.926 7.839
angles: 90.00 107.34 90.00
Space group Cm (No. 8)
Unique sites:
Hg1 0.000 0.000 0.000 [2 per cell]
Hg2 0.249 0.000 0.748 [2 per cell]
Sb1 0.490 0.000 0.463 [2 per cell]
As1 0.252 0.500 0.255 [2 per cell]

---

# 9
A plane-wave DFT calculation with SCAN was carried out for a PBEsol-optimized structure of LiAlCdGe2.

Summary:
The formation energy is 2.45 eV per formula unit.

abc: 4.580 4.580 4.610
angles: 90.00 90.00 90.00
Space group P4/mmm (No. 123)
Unique sites:
Li1 0.000 0.000 0.000 [1 per cell]
Al1 0.000 0.000 0.500 [1 per cell]
Cd1 0.500 0.500 0.500 [1 per cell]
Ge1 0.000 0.500 0.000 [2 per cell]

---

# 10
A plane-wave DFT calculation with SCAN was carried out for a PBEsol-optimized structure of HfCoSn.

Summary:
The formation energy is -1.22 eV per formula unit.

abc: 7.0268 7.0268 3.5053
angles: 90.00 90.00 120.00
Space group P-62m (No. 189)
Unique sites:
Hf1 0.0000 0.6022 0.0000 [3 per cell]
Co1 0.0000 0.0000 0.0000 [1 per cell]
Co2 0.3333 0.6667 0.5000 [2 per cell]
Sn1 0.0000 0.2661 0.5000 [3 per cell]

---

# 11
A plane-wave DFT calculation with SCAN was carried out for a PBEsol-optimized structure of Li2CaZn.

Summary:
The formation energy is -0.41 eV per formula unit.

abc: 3.516 3.516 7.065
angles: 90.00 90.00 90.00
Space group P4mm (No. 99)
Unique sites:
Li1 0.000 0.000 0.000 [1 per cell]
Li2 0.500 0.500 0.214 [1 per cell]
Ca1 0.500 0.500 0.657 [1 per cell]
Zn1 0.000 0.000 0.395 [1 per cell]

---

# 12
A plane-wave DFT calculation with SCAN was carried out for a PBEsol-optimized structure of K2PdC4S4N4.

Summary:
As for the formation energy from raw total energies: -2.952 eV/f.u.

abc: 4.219 12.959 11.069
angles: 90.00 97.93 90.00
Space group P2_1/c (No. 14)
Unique sites:
K1 0.212 0.141 0.033 [4 per cell]
Pd1 0.500 0.000 0.500 [2 per cell]
C1 0.278 0.657 0.201 [4 per cell]
C2 0.478 0.574 0.725 [4 per cell]
S1 0.269 0.089 0.649 [4 per cell]
S2 0.367 0.663 0.060 [4 per cell]
N1 0.216 0.657 0.302 [4 per cell]
N2 0.316 0.567 0.629 [4 per cell]

---

# 13
A plane-wave DFT calculation with SCAN was carried out for a PBEsol-optimized structure of TlTeCl2.

Summary:
As for the formation energy from raw total energies: -1.609 eV/f.u. The energy above the most stable polymorph in this dataset is 0.0272 eV per atom.

abc: 7.422 9.052 3.361
angles: 90.00 115.61 90.00
Space group C2/m (No. 12)
Unique sites:
Tl1 0.000 0.000 0.000 [2 per cell]
Te1 0.000 0.500 0.000 [2 per cell]
Cl1 0.250 0.250 0.500 [4 per cell]

---

# 14
A plane-wave DFT calculation with SCAN was carried out for a PBEsol-optimized structure of EuPt2.

Summary:
The formation energy is -3.34 eV per formula unit.

abc: 7.660 7.660 7.660
angles: 90.00 90.00 90.00
Space group Fd-3m (No. 227, origin choice 2)
Unique sites:
Eu1 0.125 0.125 0.125 [8 per cell]
Pt1 0.000 0.000 0.500 [16 per cell]

---

# 15
A plane-wave DFT calculation with SCAN was carried out for a PBEsol-optimized structure of LiFe2Te.

Summary:
As for the formation energy from raw total energies: 0.092 eV/f.u.

abc: 3.719 3.719 8.017
angles: 90.00 90.00 90.00
Space group I4/mmm (No. 139)
Unique sites:
Li1 0.000 0.000 0.000 [2 per cell]
Fe1 0.000 0.500 0.250 [4 per cell]
Te1 0.000 0.000 0.500 [2 per cell]

---

# 16
A plane-wave DFT calculation with SCAN was carried out for a PBEsol-optimized structure of BaNbAl2.

Summary:
The formation energy is 1.97 eV per formula unit.

abc: 7.140 7.140 7.140
angles: 90.00 90.00 90.00
Space group Fm-3m (No. 225)
Unique sites:
Ba1 0.000 0.000 0.000 [4 per cell]
Nb1 0.000 0.000 0.500 [4 per cell]
Al1 0.250 0.250 0.250 [8 per cell]

---

# 17
A plane-wave DFT calculation with SCAN was carried out for a PBEsol-optimized structure of CaGaRe3.

Summary:
The formation energy is 17.40 eV per formula unit.

abc: 4.541 4.541 4.541
angles: 90.00 90.00 90.00
Space group Pm-3m (No. 221)
Unique sites:
Ca1 0.000 0.000 0.000 [1 per cell]
Ga1 0.500 0.500 0.500 [1 per cell]
Re1 0.000 0.000 0.500 [3 per cell]

---

# 18
A plane-wave DFT calculation with SCAN was carried out for a PBEsol-optimized structure of BaAuF3.

Summary:
As for the formation energy from raw total energies: -10.607 eV/f.u.

abc: 4.564 4.564 4.564
angles: 90.00 90.00 90.00
Space group Pm-3m (No. 221)
Unique sites:
Ba1 0.000 0.000 0.000 [1 per cell]
Au1 0.500 0.500 0.500 [1 per cell]
F1 0.000 0.500 0.500 [3 per cell]

---

# 19
A plane-wave DFT calculation with SCAN was carried out for a PBEsol-optimized structure of AlCr4Os.

Summary:
The formation energy is -0.11 eV per formula unit.

abc: 6.627 6.627 6.627
angles: 90.00 90.00 90.00
Space group F-43m (No. 216)
Unique sites:
Al1 0.000 0.000 0.000 [4 per cell]
Cr1 0.127 0.127 0.373 [16 per cell]
Os1 0.250 0.250 0.750 [4 per cell]

---

# 20
A plane-wave DFT calculation with SCAN was carried out for a PBEsol-optimized structure of Zr2ScZn.

Summary:
The formation energy is -0.43 eV per formula unit.

abc: 4.232 4.232 8.791
angles: 90.00 90.00 90.00
Space group I-4m2 (No. 119)
Unique sites:
Zr1 0.000 0.000 0.000 [2 per cell]
Zr2 0.000 0.500 0.250 [2 per cell]
Sc1 0.000 0.000 0.500 [2 per cell]
Zn1 0.000 0.500 0.750 [2 per cell]

---

# 21
A plane-wave DFT calculation with SCAN was carried out for a PBEsol-optimized structure of ZrCr3Tc.

Summary:
The formation energy is 9.46 eV per formula unit.

abc: 4.478 4.478 4.478
angles: 90.00 90.00 90.00
Space group Pm-3m (No. 221)
Unique sites:
Zr1 0.000 0.000 0.000 [1 per cell]
Cr1 0.000 0.000 0.500 [3 per cell]
Tc1 0.500 0.500 0.500 [1 per cell]

---

# 22
A plane-wave DFT calculation with SCAN was carried out for a PBEsol-optimized structure of Li2TlSe.

Summary:
As for the formation energy from raw total energies: -2.422 eV/f.u.

abc: 3.955 3.955 9.954
angles: 90.00 90.00 90.00
Space group I-4m2 (No. 119)
Unique sites:
Li1 0.000 0.000 0.000 [2 per cell]
Li2 0.000 0.500 0.250 [2 per cell]
Tl1 0.000 0.500 0.750 [2 per cell]
Se1 0.000 0.000 0.500 [2 per cell]

---

# 23
A plane-wave DFT calculation with SCAN was carried out for a PBEsol-optimized structure of YNb3As.

Summary:
The formation energy is 10.54 eV per formula unit.

abc: 4.849 4.849 4.849
angles: 90.00 90.00 90.00
Space group Pm-3m (No. 221)
Unique sites:
Y1 0.000 0.000 0.000 [1 per cell]
Nb1 0.000 0.000 0.500 [3 per cell]
As1 0.500 0.500 0.500 [1 per cell]

---

# 24
A plane-wave DFT calculation with SCAN was carried out for a PBEsol-optimized structure of InPt3I.

Summary:
As for the formation energy from raw total energies: 5.946 eV/f.u.

abc: 4.916 4.916 4.916
angles: 90.00 90.00 90.00
Space group Pm-3m (No. 221)
Unique sites:
In1 0.000 0.000 0.000 [1 per cell]
Pt1 0.000 0.000 0.500 [3 per cell]
I1 0.500 0.500 0.500 [1 per cell]

---

# 25
A plane-wave DFT calculation with SCAN was carried out for a PBEsol-optimized structure of K2CoSi.

Summary:
As for the formation energy from raw total energies: 2.952 eV/f.u.

abc: 7.078 7.078 7.078
angles: 90.00 90.00 90.00
Space group F-43m (No. 216)
Unique sites:
K1 0.000 0.000 0.000 [4 per cell]
K2 0.250 0.250 0.250 [4 per cell]
Co1 0.250 0.250 0.750 [4 per cell]
Si1 0.000 0.000 0.500 [4 per cell]

---

# 26
A plane-wave DFT calculation with SCAN was carried out for a PBEsol-optimized structure of Ti3Ga.

Summary:
The formation energy is -1.49 eV per formula unit.

abc: 5.6163 5.6163 4.5891
angles: 90.00 90.00 120.00
Space group P6_3/mmc (No. 194)
Unique sites:
Ti1 0.1701 0.3402 0.2500 [6 per cell]
Ga1 0.3333 0.6667 0.7500 [2 per cell]

---

# 27
A plane-wave DFT calculation with SCAN was carried out for a PBEsol-optimized structure of Co2Re.

Summary:
The formation energy is 0.52 eV per formula unit. The energy above the most stable polymorph in this dataset is 0.0774 eV per atom.

abc: 3.9725 3.9725 2.5254
angles: 90.00 90.00 120.00
Space group P6/mmm (No. 191)
Unique sites:
Co1 0.3333 0.6667 0.0000 [2 per cell]
Re1 0.0000 0.0000 0.5000 [1 per cell]